The following is a GGA-PBE calculation of a relaxed Dy4Tm7In crystal, from the Alexandria database.

a = 5.7765 Å, b = 11.4974 Å, c = 6.6508 Å
α = 79.07°, β = 64.26°, γ = 75.45°
Positions (direct):
Tm1 0.2016 0.0813 0.5155
Tm2 0.5000 0.0000 0.0000
Tm3 0.0993 0.7199 0.0814
Tm4 0.6309 0.5246 0.2135
Tm5 0.3691 0.4754 0.7865
Tm6 0.9007 0.2801 0.9186
Tm7 0.7984 0.9187 0.4845
Dy1 0.1464 0.3798 0.3273
Dy2 0.3756 0.7699 0.4789
Dy3 0.6244 0.2301 0.5211
Dy4 0.8536 0.6202 0.6727
In1 0.0000 0.0000 0.0000

Properties
V, Å³/cell: 383.48
ΔH_f (0 K), eV/atom: 0.202
Polymorph energy (0 for the lowest one), meV per atom: 169.8
Electronic total energy, eV/cell: -50.03